[1]
This record from Alexandria describes an optimized crystal structure of RbCdW3. The functional is PBE-GGA.

Calculated values
DFT formation energy in eV/atom: 3.790
N(E_F) in states/eV/cell: 4.96
E in eV/cell: -21.79
Space group: Pm-3m
ΔE to the lowest computed polymorph in eV per atom: 0.533

Cell lengths 4.753, 4.753, 4.753 Å; angles 90.00, 90.00, 90.00 degrees
Sites, in units of the cell vectors:
Cd: 0.500 0.500 0.500
Rb: 0.000 0.000 0.000
W: 0.000 0.000 0.500
W: 0.000 0.500 0.000
W: 0.500 0.000 0.000



[2]
This record from Alexandria describes an optimized crystal structure of NaDyTl2Br6. The functional is PBE-GGA.

Calculated values
Uncorrected formation energy in eV/atom: -1.4250
N(E_F) in states/eV/cell: 0.00
E in eV/cell: -69.88
Space group: P2_1/c

Cell lengths 7.679, 8.134, 11.074 Å; angles 90.00, 89.18, 90.00 degrees
Sites, in units of the cell vectors:
Dy: 0.500 0.000 0.500
Tl: 0.973 0.078 0.746
Na: 0.000 0.500 0.500
Br: 0.298 0.688 0.049
Tl: 0.473 0.422 0.246
Tl: 0.527 0.578 0.754
Na: 0.500 0.000 0.000
Br: 0.395 0.974 0.743
Dy: 0.000 0.500 0.000
Br: 0.816 0.790 0.947
Br: 0.316 0.710 0.447
Tl: 0.027 0.922 0.254
Br: 0.798 0.812 0.549
Br: 0.202 0.188 0.451
Br: 0.895 0.526 0.243
Br: 0.105 0.474 0.757
Br: 0.184 0.210 0.053
Br: 0.702 0.312 0.951
Br: 0.684 0.290 0.553
Br: 0.605 0.026 0.257



[3]
This record from Alexandria describes an optimized crystal structure of BeAlMo. The functional is PBE-GGA.

Calculated values
DFT formation energy in eV/atom: 0.795
N(E_F) in states/eV/cell: 3.69
E in eV/cell: -15.91
Space group: F-43m
ΔE to the lowest computed polymorph in eV per atom: 0.863

Cell lengths 4.104, 4.104, 4.104 Å; angles 60.00, 60.00, 60.00 degrees
Sites, in units of the cell vectors:
Al: 0.000 0.000 0.000
Mo: 0.750 0.750 0.750
Be: 0.500 0.500 0.500



[4]
This record from Alexandria describes an optimized crystal structure of La6AuSe2Br3. The functional is PBE-GGA.

Calculated values
Uncorrected formation energy in eV/atom: -1.4474
N(E_F) in states/eV/cell: 10.17
E in eV/cell: -62.20
Space group: C2/m

Cell lengths 7.560, 7.560, 7.536 Å; angles 99.57, 99.57, 119.93 degrees
Sites, in units of the cell vectors:
La: 0.585 0.922 0.766
Au: 0.000 0.000 0.000
La: 0.922 0.585 0.766
La: 0.260 0.260 0.768
Se: 0.667 0.333 0.000
Se: 0.333 0.667 0.000
La: 0.740 0.740 0.232
La: 0.078 0.415 0.234
Br: 0.836 0.164 0.500
Br: 0.500 0.500 0.500
Br: 0.164 0.836 0.500
La: 0.415 0.078 0.234



[5]
This record from Alexandria describes an optimized crystal structure of Pm2Hg2PdO6. The functional is PBE-GGA.

Calculated values
Uncorrected formation energy in eV/atom: -1.5709
N(E_F) in states/eV/cell: 3.09
E in eV/cell: -62.33
Space group: C2/m

Cell lengths 6.406, 6.406, 6.046 Å; angles 89.86, 89.86, 125.52 degrees
Sites, in units of the cell vectors:
Pm: 0.348 0.652 0.500
Hg: 0.165 0.835 0.000
Hg: 0.835 0.165 0.000
O: 0.695 0.695 0.663
Pd: 0.000 0.000 0.500
O: 0.305 0.305 0.337
O: 0.341 0.985 0.704
Pm: 0.652 0.348 0.500
O: 0.659 0.015 0.296
O: 0.015 0.659 0.296
O: 0.985 0.341 0.704



[6]
This record from Alexandria describes an optimized crystal structure of TmNi4P3. The functional is PBE-GGA.

Calculated values
DFT formation energy in eV/atom: -0.808
N(E_F) in states/eV/cell: 2.86
E in eV/cell: -50.29
Space group: P4/mmm

Cell lengths 3.820, 3.820, 7.213 Å; angles 90.00, 90.00, 90.00 degrees
Sites, in units of the cell vectors:
P: 0.500 0.500 0.343
P: 0.500 0.500 0.657
Ni: 0.000 0.500 0.821
Tm: 0.000 0.000 0.500
P: 0.000 0.000 0.000
Ni: 0.000 0.500 0.179
Ni: 0.500 0.000 0.821
Ni: 0.500 0.000 0.179



[7]
This record from Alexandria describes an optimized crystal structure of CaBeAsBr2. The functional is PBE-GGA.

Calculated values
Uncorrected formation energy in eV/atom: -0.5031
N(E_F) in states/eV/cell: 3.60
E in eV/cell: -16.24
Space group: P4/mmm
ΔE to the lowest computed polymorph in eV per atom: 0.000

Cell lengths 5.009, 5.009, 4.635 Å; angles 90.00, 90.00, 90.00 degrees
Sites, in units of the cell vectors:
Br: 0.000 0.500 0.000
Ca: 0.500 0.500 0.500
Be: 0.000 0.000 0.000
Br: 0.500 0.000 0.000
As: 0.000 0.000 0.500



[8]
This record from Alexandria describes an optimized crystal structure of Na4Ce3YS8. The functional is PBE-GGA.

Calculated values
Uncorrected formation energy in eV/atom: -1.7588
N(E_F) in states/eV/cell: 18.13
E in eV/cell: -90.70
Space group: R-3m

Cell lengths 8.205, 8.178, 8.205 Å; angles 120.12, 120.00, 90.00 degrees
Each line ends with the local moment (μB).
Sites, in units of the cell vectors:
S: 0.760 0.270 0.010  -0.01
Y: 0.000 0.500 0.000  0.03
Ce: 0.500 0.500 0.000  0.92
S: 0.240 0.730 0.990  -0.01
S: 0.750 0.730 0.990  -0.01
Na: 0.000 0.000 0.500  0.00
Na: 0.000 0.000 0.000  0.00
Na: 0.500 0.000 0.000  0.00
S: 0.745 0.734 0.489  -0.02
S: 0.240 0.730 0.480  -0.01
Ce: 0.000 0.500 0.500  0.92
Na: 0.500 0.000 0.500  0.00
S: 0.250 0.270 0.010  -0.01
S: 0.760 0.270 0.520  -0.01
S: 0.255 0.266 0.511  -0.02
Ce: 0.500 0.500 0.500  0.92



[9]
This record from Alexandria describes an optimized crystal structure of CoMoSe2. The functional is PBE-GGA.

Calculated values
Uncorrected formation energy in eV/atom: 0.1185
N(E_F) in states/eV/cell: 7.51
E in eV/cell: -48.86
Space group: I-42d
ΔE to the lowest computed polymorph in eV per atom: 0.373

Cell lengths 5.524, 5.524, 6.601 Å; angles 65.27, 65.27, 90.00 degrees
Sites, in units of the cell vectors:
Se: 0.875 0.851 0.750
Se: 0.375 0.399 0.750
Co: 0.500 0.500 0.000
Mo: 0.000 0.000 0.000
Co: 0.250 0.750 0.500
Mo: 0.750 0.250 0.500
Se: 0.601 0.125 0.250
Se: 0.149 0.625 0.250



[10]
This record from Alexandria describes an optimized crystal structure of K2SrTa. The functional is PBE-GGA.

Calculated values
DFT formation energy in eV/atom: 0.997
N(E_F) in states/eV/cell: 5.42
E in eV/cell: -11.74
Space group: R3m
ΔE to the lowest computed polymorph in eV per atom: 0.049

Cell lengths 14.061, 14.061, 14.061 Å; angles 14.43, 14.43, 14.43 degrees
Sites, in units of the cell vectors:
Ta: 0.755 0.755 0.755
K: 0.247 0.247 0.247
Sr: 0.484 0.484 0.484
K: 0.015 0.015 0.015



[11]
This record from Alexandria describes an optimized crystal structure of Al2AgSb. The functional is PBE-GGA.

Calculated values
Uncorrected formation energy in eV/atom: 0.1954
N(E_F) in states/eV/cell: 1.81
E in eV/cell: -13.68
Space group: Imm2

Cell lengths 6.019, 6.019, 6.019 Å; angles 151.61, 126.81, 61.39 degrees
Sites, in units of the cell vectors:
Al: 0.770 0.270 0.500
Sb: 0.495 0.495 0.000
Al: 0.005 0.005 0.000
Ag: 0.230 0.730 0.500



[12]
This record from Alexandria describes an optimized crystal structure of LaTm5Ag6. The functional is PBE-GGA.

Calculated values
DFT formation energy in eV/atom: -0.314
N(E_F) in states/eV/cell: 6.97
E in eV/cell: -48.17
Space group: Immm

Cell lengths 5.154, 7.183, 8.924 Å; angles 113.73, 106.79, 90.00 degrees
Sites, in units of the cell vectors:
La: 0.000 0.000 0.000
Tm: 0.668 0.668 0.337
Tm: 0.334 0.834 0.669
Tm: 0.000 0.500 0.000
Ag: 0.500 0.271 0.000
Ag: 0.172 0.433 0.345
Ag: 0.172 0.912 0.345
Ag: 0.500 0.729 0.000
Tm: 0.666 0.166 0.331
Tm: 0.332 0.332 0.663
Ag: 0.828 0.567 0.655
Ag: 0.828 0.088 0.655